1.
The following is a DFT calculation (GGA-PBE) of Dy12Ho6In after structural relaxation.

Lattice parameters (Å, degrees): 8.4273 8.4273 8.4273 88.74 88.74 88.74
With the nearest neighbours (Å) after each atom.
Fractional positions:
Dy 0.6380 0.9874 0.8161  4 Ho 3.38-3.65, 4 Dy 3.45-3.60, 1 In 3.46
Dy 0.5393 0.4337 0.7804  3 Ho 3.28-3.45, 6 Dy 3.28-3.63
Dy 0.7804 0.5393 0.4337  3 Ho 3.28-3.45, 6 Dy 3.28-3.63
Dy 0.4337 0.7804 0.5393  3 Ho 3.28-3.45, 6 Dy 3.28-3.63
Dy 0.3620 0.0126 0.1839  4 Ho 3.38-3.65, 4 Dy 3.45-3.60, 1 In 3.46
Dy 0.8161 0.6380 0.9874  4 Ho 3.38-3.65, 4 Dy 3.45-3.60, 1 In 3.46
Dy 0.5663 0.2196 0.4607  3 Ho 3.28-3.45, 6 Dy 3.28-3.63
Dy 0.9874 0.8161 0.6380  4 Ho 3.38-3.65, 4 Dy 3.45-3.60, 1 In 3.46
Dy 0.1839 0.3620 0.0126  4 Ho 3.38-3.65, 4 Dy 3.45-3.60, 1 In 3.46
Dy 0.2196 0.4607 0.5663  3 Ho 3.28-3.45, 6 Dy 3.28-3.63
Dy 0.4607 0.5663 0.2196  3 Ho 3.28-3.45, 6 Dy 3.28-3.63
Dy 0.0126 0.1839 0.3620  4 Ho 3.38-3.65, 4 Dy 3.45-3.60, 1 In 3.46
Ho 0.7420 0.9038 0.2945  7 Dy 3.28-3.65, 1 In 3.36, 2 Ho 3.40
Ho 0.7055 0.2580 0.0962  7 Dy 3.28-3.65, 1 In 3.36, 2 Ho 3.40
Ho 0.2580 0.0962 0.7055  7 Dy 3.28-3.65, 1 In 3.36, 2 Ho 3.40
Ho 0.9038 0.2945 0.7420  7 Dy 3.28-3.65, 1 In 3.36, 2 Ho 3.40
Ho 0.0962 0.7055 0.2580  7 Dy 3.28-3.65, 1 In 3.36, 2 Ho 3.40
Ho 0.2945 0.7420 0.9038  7 Dy 3.28-3.65, 1 In 3.36, 2 Ho 3.40
In 0.0000 0.0000 0.0000  6 Ho 3.36, 6 Dy 3.46

- Symmetry: R-3
- DOS at the Fermi energy: 27.87 states/eV/f.u.
- Total moment: 0.001 μB per formula unit
- Crystal system: trigonal
- DFT total energy: -4.42 eV per atom


2.
The following is a DFT calculation (GGA-PBE) of Li5CoSnN2 after structural relaxation.

Lattice parameters (Å, degrees): 4.1669 4.1669 7.5473 90.00 90.00 90.00
With the nearest neighbours (Å) after each atom.
Fractional positions:
Li 0.5000 0.0000 0.7898  2 N 2.09
Li 0.0000 0.5000 0.7898  2 N 2.09
Li 0.5000 0.0000 0.2102  2 N 2.09
Li 0.0000 0.5000 0.2102  2 N 2.09
Li 0.0000 0.0000 0.5000  2 N 2.08
N 0.0000 0.0000 0.2242  1 Co 1.69
N 0.0000 0.0000 0.7758  1 Co 1.69
Sn 0.5000 0.5000 0.5000  12 Li 2.95-3.02
Co 0.0000 0.0000 0.0000  2 N 1.69

- Symmetry: P4/mmm
- DOS at the Fermi energy: 3.32 states/eV/f.u.
- Total moment: 0.000 μB per formula unit
- Crystal system: tetragonal
- Formation energy without anion corrections: -0.207 eV per atom
- DFT total energy: -4.35 eV per atom


3.
The following is a DFT calculation (GGA-PBE) of Cd2FeTe after structural relaxation.

Lattice parameters (Å, degrees): 5.5692 3.7251 4.3532 91.50 90.00 90.00
With the nearest neighbours (Å) after each atom.
Fractional positions:
Fe 0.5000 0.2500 0.2500  4 Te 2.83-2.90, 4 Cd 3.10
Cd 0.0000 0.4928 0.4926  4 Cd 2.74-2.92
Cd 0.0000 0.0072 0.0074  4 Cd 2.74-2.92
Te 0.5000 0.7500 0.7500  4 Fe 2.83-2.90, 4 Cd 3.14

- Symmetry: P2/m
- DOS at the Fermi energy: 4.00 states/eV/f.u.
- Total moment: 3.030 μB per formula unit
- Crystal system: monoclinic
- Formation energy without anion corrections: 0.374 eV per atom
- DFT total energy: -2.98 eV per atom


4.
The following is a DFT calculation (GGA-PBE) of Sc3CuSe after structural relaxation.

Lattice parameters (Å, degrees): 4.9555 4.9555 4.9555 90.00 90.00 90.00
With the nearest neighbours (Å) after each atom.
Fractional positions:
Sc 0.0000 0.5000 0.0000  2 Se 2.48
Sc 0.0000 0.0000 0.5000  2 Se 2.48
Sc 0.5000 0.0000 0.0000  2 Se 2.48
Se 0.0000 0.0000 0.0000  6 Sc 2.48
Cu 0.5000 0.5000 0.5000  12 Sc 3.50

- E above lowest polymorph: 523 meV/atom
- Symmetry: Pm-3m
- DOS at the Fermi energy: 6.81 states/eV/f.u.
- Total moment: 0.000 μB per formula unit
- Crystal system: cubic
- Formation energy without anion corrections: -0.168 eV per atom
- DFT total energy: -5.48 eV per atom


5.
The following is a DFT calculation (GGA-PBE) of Pr2Si3Pd6 after structural relaxation.

Lattice parameters (Å, degrees): 4.3214 7.4047 7.4047 120.00 90.00 90.00
With the nearest neighbours (Å) after each atom.
Fractional positions:
Pr 0.0000 0.3333 0.6667  9 Pd 3.02-3.35, 6 Si 3.21
Pr 0.0000 0.6667 0.3333  9 Pd 3.02-3.35, 6 Si 3.21
Si 0.5000 0.3617 0.3617  5 Pd 2.43-2.51
Si 0.5000 0.6383 0.0000  5 Pd 2.43-2.51
Si 0.5000 0.0000 0.6383  5 Pd 2.43-2.51
Pd 0.0000 0.7877 0.0000  2 Si 2.43
Pd 0.0000 0.0000 0.7877  2 Si 2.43
Pd 0.0000 0.2123 0.2123  2 Si 2.43
Pd 0.5000 0.0000 0.3096  3 Si 2.43-2.51
Pd 0.5000 0.3096 0.0000  3 Si 2.43-2.51
Pd 0.5000 0.6904 0.6904  3 Si 2.43-2.51

- Symmetry: P-62m
- DOS at the Fermi energy: 8.62 states/eV/f.u.
- Total moment: 0.000 μB per formula unit
- Crystal system: hexagonal
- Formation energy without anion corrections: -0.808 eV per atom
- DFT total energy: -5.99 eV per atom


6.
The following is a DFT calculation (GGA-PBE) of MgTi3C after structural relaxation.

Lattice parameters (Å, degrees): 4.2590 4.2590 4.2590 90.00 90.00 90.00
With the nearest neighbours (Å) after each atom.
Fractional positions:
Ti 0.0000 0.5000 0.0000  2 C 2.13
Ti 0.5000 0.0000 0.0000  2 C 2.13
Ti 0.0000 0.0000 0.5000  2 C 2.13
C 0.0000 0.0000 0.0000  6 Ti 2.13
Mg 0.5000 0.5000 0.5000  12 Ti 3.01

- E above lowest polymorph: 0 meV/atom
- Symmetry: Pm-3m
- DOS at the Fermi energy: 3.43 states/eV/f.u.
- Total moment: 0.000 μB per formula unit
- Crystal system: cubic
- DFT total energy: -7.21 eV per atom